Entry from Alexandria via LeMat-Bulk: a geometry-optimized CoH2Cl2O structure (PBEsol).

abc: 3.4895 8.4068 10.9945
angles: 90.00 90.00 90.00
Closest atoms and distances in Å follow each position.
Fractional coordinates of all 24 atoms:
Co 0.2500 0.3428 0.0145  1 O 2.02
Co 0.7500 0.6572 0.9855  1 O 2.02
Co 0.2500 0.8428 0.4855  1 O 2.02
Co 0.7500 0.1572 0.5145  1 O 2.02
H 0.2500 0.6880 0.2734  1 O 0.99
H 0.2500 0.1880 0.2266  1 O 0.99
H 0.7500 0.3120 0.7266  1 O 0.99
H 0.7500 0.8120 0.7734  1 O 0.99
H 0.2500 0.5497 0.3772  1 O 0.99
H 0.2500 0.0497 0.1228  1 O 0.99
H 0.7500 0.4503 0.6228  1 O 0.99
H 0.7500 0.9503 0.8772  1 O 0.99
Cl 0.7500 0.7038 0.5934  2 H 2.16-2.18, 2 Co 2.41
Cl 0.7500 0.2038 0.9066  2 H 2.16-2.18, 2 Co 2.41
Cl 0.2500 0.2962 0.4066  2 H 2.16-2.18, 2 Co 2.41
Cl 0.2500 0.7962 0.0934  2 H 2.16-2.18, 2 Co 2.41
Cl 0.2500 0.0377 0.6333  3 Co 2.31-2.40
Cl 0.2500 0.5377 0.8667  3 Co 2.31-2.40
Cl 0.7500 0.9623 0.3667  3 Co 2.31-2.40
Cl 0.7500 0.4623 0.1333  3 Co 2.31-2.40
O 0.2500 0.6657 0.3618  2 H 0.99
O 0.2500 0.1657 0.1382  2 H 0.99
O 0.7500 0.3343 0.6382  2 H 0.99
O 0.7500 0.8343 0.8618  2 H 0.99

Crystal system: orthorhombic
DOS(E_F): 2.4 states/eV/f.u.
Total magnetic moment: 12.0 μB per cell
E: -112.82 eV per cell